Entry 1:
## SrSn3F (meta-GGA SCAN)

Data for SrSn3F at its PBEsol-relaxed geometry.

Unit cell a=6.0319 b=6.0319 c=6.0319 alpha=90.00 beta=90.00 gamma=90.00
Sites, in units of the cell vectors:
Sr 0.0000 0.0000 0.0000
Sn 0.0000 0.0000 0.5000
Sn 0.0000 0.5000 0.0000
Sn 0.5000 0.0000 0.0000
F 0.5000 0.5000 0.5000

Output
DOS(E_F) in states/eV/atom: 1.711
Mass density in g/cm3: 3.50
E_tot in eV per atom: -25.911
Uncorrected formation energy in meV/atom: 805

---

Entry 2:
## AlCS3 (meta-GGA SCAN)

Data for AlCS3 at its PBEsol-relaxed geometry.

Unit cell a=4.0615 b=4.0615 c=4.0615 alpha=90.00 beta=90.00 gamma=90.00
Sites, in units of the cell vectors:
Al 0.0000 0.0000 0.0000
C 0.5000 0.5000 0.5000
S 0.0000 0.5000 0.5000
S 0.5000 0.0000 0.5000
S 0.5000 0.5000 0.0000

Output
DOS(E_F) in states/eV/atom: 0.489
Mass density in g/cm3: 3.35
E_tot in eV per atom: -8.319
Uncorrected formation energy in meV/atom: 1028

---

Entry 3:
## NaTl2Te2 (meta-GGA SCAN)

Data for NaTl2Te2 at its PBEsol-relaxed geometry.

Unit cell a=6.3510 b=6.3510 c=6.3510 alpha=124.92 beta=124.92 gamma=81.68
Sites, in units of the cell vectors:
Na 0.0000 0.0000 0.0000
Tl 0.3473 0.3473 0.0000
Tl 0.6527 0.6527 0.0000
Te 0.2500 0.7500 0.5000
Te 0.7500 0.2500 0.5000

Output
DOS(E_F) in states/eV/atom: 0.165
Mass density in g/cm3: 6.88
E_tot in eV per atom: -44.990
Uncorrected formation energy in meV/atom: -303

---

Entry 4:
## CeAl2Ga2 (meta-GGA SCAN)

Data for CeAl2Ga2 at its PBEsol-relaxed geometry.

Unit cell a=6.2721 b=6.2721 c=6.2721 alpha=141.60 beta=141.60 gamma=55.43
Sites, in units of the cell vectors:
Ce 0.0000 0.0000 0.0000
Al 0.2500 0.7500 0.5000
Al 0.7500 0.2500 0.5000
Ga 0.3897 0.3897 0.0000
Ga 0.6103 0.6103 0.0000

Output
Formation energy in eV per atom: -0.509
DOS(E_F) in states/eV/atom: 0.830
Mass density in g/cm3: 5.86
E_tot in eV per atom: -19.061

---

Entry 5:
## Y2ReP (meta-GGA SCAN)

Data for Y2ReP at its PBEsol-relaxed geometry.

Unit cell a=3.9066 b=5.6190 c=5.6190 alpha=42.32 beta=90.00 gamma=90.00
Sites, in units of the cell vectors:
Y 0.0000 0.0000 0.0000
Y 0.5000 0.2793 0.2793
Re 0.5000 0.5673 0.5673
P 0.0000 0.7038 0.7038

Output
Formation energy in eV per atom: -0.652
DOS(E_F) in states/eV/atom: 0.687
Mass density in g/cm3: 7.90
E_tot in eV per atom: -34.947

---

Entry 6:
## Na3CrCl6 (meta-GGA SCAN)

Data for Na3CrCl6 at its PBEsol-relaxed geometry.

Unit cell a=6.7981 b=6.7981 c=11.9076 alpha=90.00 beta=90.00 gamma=120.00
Sites, in units of the cell vectors:
Na 0.0000 0.0000 0.2500
Na 0.0000 0.0000 0.7500
Na 0.3333 0.6667 0.0435
Na 0.3333 0.6667 0.4565
Na 0.6667 0.3333 0.5435
Na 0.6667 0.3333 0.9565
Cr 0.3333 0.6667 0.7500
Cr 0.6667 0.3333 0.2500
Cl 0.0600 0.3825 0.8650
Cl 0.0600 0.6775 0.6350
Cl 0.3225 0.3825 0.6350
Cl 0.3225 0.9400 0.8650
Cl 0.3825 0.0600 0.3650
Cl 0.3825 0.3225 0.1350
Cl 0.6175 0.6775 0.8650
Cl 0.6175 0.9400 0.6350
Cl 0.6775 0.0600 0.1350
Cl 0.6775 0.6175 0.3650
Cl 0.9400 0.3225 0.3650
Cl 0.9400 0.6175 0.1350

Output
DOS(E_F) in states/eV/atom: 0.000
Mass density in g/cm3: 2.33
E_tot in eV per atom: -9.714
Uncorrected formation energy in meV/atom: -1824

---

Entry 7:
## Te3P (meta-GGA SCAN)

Data for Te3P at its PBEsol-relaxed geometry.

Unit cell a=3.7171 b=3.7171 c=8.4548 alpha=90.00 beta=90.00 gamma=120.00
Sites, in units of the cell vectors:
Te 0.0000 0.0000 0.0000
Te 0.3333 0.6667 0.2806
Te 0.3333 0.6667 0.7194
P 0.0000 0.0000 0.5000

Output
DOS(E_F) in states/eV/atom: 0.638
Mass density in g/cm3: 6.79
E_tot in eV per atom: -30.174
Uncorrected formation energy in meV/atom: 364

---

Entry 8:
## CsMnF2 (meta-GGA SCAN)

Data for CsMnF2 at its PBEsol-relaxed geometry.

Unit cell a=4.7448 b=4.7448 c=4.7448 alpha=60.00 beta=60.00 gamma=60.00
Sites, in units of the cell vectors:
Cs 0.0000 0.0000 0.0000
Mn 0.5000 0.5000 0.5000
F 0.2500 0.2500 0.2500
F 0.7500 0.7500 0.7500

Output
Mass density in g/cm3: 4.97
E_tot in eV per atom: -17.455
Uncorrected formation energy in meV/atom: -1669

---

Entry 9:
## LiMn2F7 (meta-GGA SCAN)

Data for LiMn2F7 at its PBEsol-relaxed geometry.

Unit cell a=5.7859 b=5.7859 c=9.5420 alpha=96.65 beta=96.65 gamma=124.85
Sites, in units of the cell vectors:
Li 0.2303 0.7697 0.5000
Li 0.7697 0.2303 0.0000
Mn 0.4146 0.4646 0.9439
Mn 0.4646 0.4146 0.4439
Mn 0.8307 0.9313 0.2887
Mn 0.9313 0.8307 0.7887
F 0.0188 0.2303 0.4523
F 0.1201 0.7476 0.6825
F 0.1509 0.2713 0.7699
F 0.1715 0.5006 0.0260
F 0.2303 0.0188 0.9523
F 0.2713 0.1509 0.2699
F 0.4341 0.6855 0.3697
F 0.5006 0.1715 0.5260
F 0.6240 0.6797 0.6258
F 0.6797 0.6240 0.1258
F 0.6855 0.4341 0.8697
F 0.7006 0.8853 0.8929
F 0.7476 0.1201 0.1825
F 0.8853 0.7006 0.3929

Output
Mass density in g/cm3: 3.27
E_tot in eV per atom: -9.204
Uncorrected formation energy in meV/atom: -2836

---

Entry 10:
## LaReBr2 (meta-GGA SCAN)

Data for LaReBr2 at its PBEsol-relaxed geometry.

Unit cell a=5.1768 b=5.1768 c=5.1768 alpha=60.00 beta=60.00 gamma=60.00
Sites, in units of the cell vectors:
La 0.0000 0.0000 0.0000
Re 0.7500 0.7500 0.7500
Br 0.2500 0.2500 0.2500
Br 0.5000 0.5000 0.5000

Output
DOS(E_F) in states/eV/atom: 1.011
Mass density in g/cm3: 8.21
E_tot in eV per atom: -37.880
Uncorrected formation energy in meV/atom: 400

---

Entry 11:
## NbInPS2 (meta-GGA SCAN)

Data for NbInPS2 at its PBEsol-relaxed geometry.

Unit cell a=4.8232 b=4.8232 c=4.8377 alpha=90.00 beta=90.00 gamma=90.00
Sites, in units of the cell vectors:
Nb 0.0000 0.0000 0.0000
In 0.5000 0.5000 0.5000
P 0.5000 0.5000 0.0000
S 0.0000 0.5000 0.5000
S 0.5000 0.0000 0.5000

Output
DOS(E_F) in states/eV/atom: 0.669
Mass density in g/cm3: 4.47
E_tot in eV per atom: -18.351
Uncorrected formation energy in meV/atom: 884

---

Entry 12:
## Li3ZnAu (meta-GGA SCAN)

Data for Li3ZnAu at its PBEsol-relaxed geometry.

Unit cell a=4.7532 b=4.7532 c=4.7532 alpha=90.00 beta=90.00 gamma=90.00
Sites, in units of the cell vectors:
Li 0.0000 0.0000 0.5000
Li 0.0000 0.5000 0.0000
Li 0.5000 0.0000 0.0000
Zn 0.5000 0.5000 0.5000
Au 0.0000 0.0000 0.0000

Output
Formation energy in eV per atom: -0.034
DOS(E_F) in states/eV/atom: 0.425
Mass density in g/cm3: 4.38
E_tot in eV per atom: -18.002